Entry from Alexandria: crystalline BaY2C at its relaxed geometry (PBE-GGA).

Unit cell a=7.5165 b=7.5165 c=7.5165 alpha=60.00 beta=60.00 gamma=60.00
Last column: nearest neighbours and their distance in Å.
Sites, in units of the cell vectors:
Ba: 0.1250 0.1250 0.1250  12 Y 4.41, 4 Ba 4.60, 4 C 4.60
Ba: 0.8750 0.8750 0.8750  12 Y 4.41, 4 C 4.60, 4 Ba 4.60
Y: 0.0000 0.5000 0.5000  2 C 2.30
Y: 0.5000 0.0000 0.5000  2 C 2.30
Y: 0.5000 0.5000 0.0000  2 C 2.30
Y: 0.5000 0.5000 0.5000  2 C 2.30
C: 0.3750 0.3750 0.3750  4 Y 2.30
C: 0.6250 0.6250 0.6250  4 Y 2.30

Calculated values
ΔH_f (0 K) (kcal/mol of atoms): 3.98
Total magnetization (μB/atom): 0.000
Space-group type: Fd-3m
Calculated total energy (eV per atom): -5.85